Density functional theory data (PBE-GGA) for InTcW2 after structural relaxation.

Cell lengths 3.1928, 3.1928, 6.6678 Å; angles 90.00, 90.00, 90.00 degrees
Closest atoms and distances in Å follow each position.
Space group P4mm (No. 99)
One atom of each set of equivalent atoms:
In 0.0000 0.0000 0.0000 [1 per cell]  4 Tc 2.89, 5 W 2.93-3.24, 4 In 3.19
Tc 0.5000 0.5000 0.2710 [1 per cell]  5 W 2.67-2.99, 4 In 2.89
W 0.0000 0.0000 0.4855 [1 per cell]  4 Tc 2.67, 4 W 2.74
W 0.5000 0.5000 0.7193 [1 per cell]  4 W 2.74, 4 In 2.93, 1 Tc 2.99

Properties
formation enthalpy at 0 K: 0.319 eV/atom
magnetization: 0.0 μB per formula unit

Density functional theory data (PBE-GGA) for Rb3Th2NiS6 after structural relaxation.

Cell lengths 6.9295, 12.9201, 7.9635 Å; angles 90.00, 106.09, 90.00 degrees
Closest atoms and distances in Å follow each position.
Space group C2/m (No. 12)
One atom of each set of equivalent atoms:
Rb 0.0000 0.0000 0.0000 [2 per cell]  6 S 3.45-3.62
Rb 0.0000 0.3466 0.0000 [4 per cell]  6 S 3.26-3.38
Th 0.0000 0.1648 0.5000 [4 per cell]  6 S 2.75-2.85
Ni 0.0000 0.5000 0.5000 [2 per cell]  2 S 2.38
S 0.2406 0.5000 0.3375 [4 per cell]  1 Ni 2.38
S 0.2445 0.3166 0.7079 [8 per cell]  2 Th 2.75-2.81

Properties
magnetization: 1.0 μB per formula unit
ΔE_f (raw): -1.373 eV per atom

- Among the records above, which one has the highest magnetization?
  Rb3Th2NiS6